(w)
{"formula": "LiYAg", "functional": "GGA-PBEsol", "state": "optimized geometry", "cell": [[-1.803, 1.803, 4.764], [1.803, -1.803, 4.764], [1.803, 1.803, -4.764]], "species": ["Li", "Y", "Ag"], "fractional_positions": [[0.000, 0.000, 0.000], [0.306, 0.306, 0.000], [0.633, 0.633, 0.000]], "total_magnetization_mub_per_fu": 0.000}

(x)
{"formula": "LiYAg", "functional": "GGA-PBEsol", "state": "optimized geometry", "cell": [[4.601, 0.000, 0.000], [-2.301, 3.985, 0.000], [0.000, 0.000, 3.415]], "species": ["Li", "Y", "Ag"], "fractional_positions": [[0.000, 0.000, 0.000], [0.333, 0.667, 0.500], [0.667, 0.333, 0.000]], "total_magnetization_mub_per_fu": 0.000}

It turns out (w) is the most stable, with the second structure 3.5 kJ/mol of atoms higher.

(w)
{"formula": "Li2ZrAg", "functional": "GGA-PBEsol", "state": "optimized geometry", "cell": [[1.550, -2.395, 0.000], [1.550, 2.395, 0.000], [0.000, 0.000, 9.646]], "species": ["Li", "Li", "Zr", "Ag"], "fractional_positions": [[0.000, 0.000, 0.225], [0.000, 0.000, 0.775], [0.500, 0.500, 0.500], [0.500, 0.500, 0.000]], "total_magnetization_mub_per_fu": 0.000}

(x)
{"formula": "Li2ZrAg", "functional": "GGA-PBEsol", "state": "optimized geometry", "cell": [[0.000, 3.175, 3.175], [3.175, 0.000, 3.175], [3.175, 3.175, 0.000]], "species": ["Li", "Li", "Zr", "Ag"], "fractional_positions": [[0.250, 0.250, 0.250], [0.750, 0.750, 0.750], [0.000, 0.000, 0.000], [0.500, 0.500, 0.500]], "total_magnetization_mub_per_fu": 0.001}

(y)
{"formula": "Li2ZrAg", "functional": "GGA-PBEsol", "state": "optimized geometry", "cell": [[3.926, 0.000, 0.000], [0.000, 3.926, 0.000], [0.000, 0.000, 4.771]], "species": ["Li", "Li", "Zr", "Ag"], "fractional_positions": [[0.000, 0.500, 0.000], [0.500, 0.000, 0.000], [0.000, 0.000, 0.500], [0.500, 0.500, 0.500]], "total_magnetization_mub_per_fu": 0.277}

It turns out (w) is the most stable, with the second structure 17.5 kJ/mol of atoms higher.

(w)
{"formula": "LiZr2Ag", "functional": "GGA-PBEsol", "state": "optimized geometry", "cell": [[3.077, 0.000, 0.000], [0.000, 3.077, 0.000], [0.000, 0.000, 8.222]], "species": ["Li", "Zr", "Zr", "Ag"], "fractional_positions": [[0.000, 0.000, 0.000], [0.000, 0.000, 0.553], [0.500, 0.500, 0.291], [0.500, 0.500, 0.810]], "total_magnetization_mub_per_fu": 0.000}

(x)
{"formula": "LiZr2Ag", "functional": "GGA-PBEsol", "state": "optimized geometry", "cell": [[0.000, 3.363, 3.363], [3.363, 0.000, 3.363], [3.363, 3.363, 0.000]], "species": ["Li", "Zr", "Zr", "Ag"], "fractional_positions": [[0.000, 0.000, 0.000], [0.250, 0.250, 0.250], [0.500, 0.500, 0.500], [0.750, 0.750, 0.750]], "total_magnetization_mub_per_fu": 2.132}

It turns out (w) is the most stable, with the second structure 33.3 kJ/mol of atoms higher.

(w)
{"formula": "Mg4Ag", "functional": "GGA-PBEsol", "state": "optimized geometry", "cell": [[5.640, -1.615, 0.000], [5.640, 1.615, 0.000], [-5.594, 0.000, 5.642]], "species": ["Mg", "Mg", "Mg", "Mg", "Ag"], "fractional_positions": [[0.082, 0.082, 0.362], [0.278, 0.278, 0.196], [0.722, 0.722, 0.804], [0.918, 0.918, 0.638], [0.500, 0.500, 0.000]], "total_magnetization_mub_per_fu": 0.000}

(x)
{"formula": "Mg4Ag", "functional": "GGA-PBEsol", "state": "optimized geometry", "cell": [[-1.731, 1.731, 8.457], [1.731, -1.731, 8.457], [1.731, 1.731, -8.457]], "species": ["Mg", "Mg", "Mg", "Mg", "Ag"], "fractional_positions": [[0.088, 0.088, 0.000], [0.303, 0.303, 0.000], [0.697, 0.697, 0.000], [0.912, 0.912, 0.000], [0.500, 0.500, 0.000]], "total_magnetization_mub_per_fu": 0.000}

It turns out (w) is the most stable, with the second structure 0.5 kJ/mol of atoms higher.

(w)
{"formula": "Mg5Ag3", "functional": "GGA-PBEsol", "state": "optimized geometry", "cell": [[3.428, -4.676, 0.000], [3.428, 4.676, 0.000], [0.000, 0.000, 4.627]], "species": ["Mg", "Mg", "Mg", "Mg", "Mg", "Ag", "Ag", "Ag"], "fractional_positions": [[0.000, 0.000, 0.000], [0.000, 0.500, 0.000], [0.273, 0.273, 0.500], [0.500, 0.000, 0.000], [0.727, 0.727, 0.500], [0.233, 0.767, 0.500], [0.500, 0.500, 0.000], [0.767, 0.233, 0.500]], "total_magnetization_mub_per_fu": 0.000}

(x)
{"formula": "Mg5Ag3", "functional": "GGA-PBEsol", "state": "optimized geometry", "cell": [[8.039, 0.000, 0.000], [-4.020, 6.962, 0.000], [0.000, 0.000, 5.542]], "species": ["Mg", "Mg", "Mg", "Mg", "Mg", "Mg", "Mg", "Mg", "Mg", "Mg", "Ag", "Ag", "Ag", "Ag", "Ag", "Ag"], "fractional_positions": [[0.000, 0.244, 0.250], [0.000, 0.756, 0.750], [0.244, 0.000, 0.250], [0.244, 0.244, 0.750], [0.333, 0.667, 0.000], [0.333, 0.667, 0.500], [0.667, 0.333, 0.000], [0.667, 0.333, 0.500], [0.756, 0.000, 0.750], [0.756, 0.756, 0.250], [0.000, 0.399, 0.750], [0.000, 0.601, 0.250], [0.399, 0.000, 0.750], [0.399, 0.399, 0.250], [0.601, 0.000, 0.250], [0.601, 0.601, 0.750]], "total_magnetization_mub_per_fu": 0.000}

It turns out (w) is the most stable, with the second structure 0.6 kJ/mol of atoms higher.

(w)
{"formula": "MgAg2O4", "functional": "GGA-PBEsol", "state": "optimized geometry", "cell": [[-3.294, 3.319, 3.635], [3.294, -3.319, 3.635], [3.294, 3.319, -3.635]], "species": ["Mg", "Mg", "Ag", "Ag", "Ag", "Ag", "O", "O", "O", "O", "O", "O", "O", "O"], "fractional_positions": [[0.000, 0.000, 0.000], [0.500, 0.000, 0.500], [0.000, 0.000, 0.500], [0.000, 0.500, 0.000], [0.402, 0.652, 0.750], [0.598, 0.348, 0.250], [0.168, 0.721, 0.447], [0.227, 0.279, 0.947], [0.280, 0.227, 0.447], [0.280, 0.833, 0.053], [0.720, 0.167, 0.947], [0.720, 0.773, 0.553], [0.773, 0.721, 0.053], [0.832, 0.279, 0.553]], "total_magnetization_mub_per_fu": 0.000}

(x)
{"formula": "MgAg2O4", "functional": "GGA-PBEsol", "state": "optimized geometry", "cell": [[3.120, 0.000, 0.000], [0.000, 10.652, 0.000], [0.000, 0.000, 9.625]], "species": ["Mg", "Mg", "Mg", "Mg", "Ag", "Ag", "Ag", "Ag", "Ag", "Ag", "Ag", "Ag", "O", "O", "O", "O", "O", "O", "O", "O", "O", "O", "O", "O", "O", "O", "O", "O"], "fractional_positions": [[0.133, 0.147, 0.250], [0.133, 0.353, 0.750], [0.867, 0.647, 0.250], [0.867, 0.853, 0.750], [0.344, 0.615, 0.572], [0.344, 0.615, 0.928], [0.344, 0.885, 0.072], [0.344, 0.885, 0.428], [0.656, 0.115, 0.572], [0.656, 0.115, 0.928], [0.656, 0.385, 0.072], [0.656, 0.385, 0.428], [0.022, 0.250, 0.000], [0.022, 0.250, 0.500], [0.362, 0.549, 0.124], [0.362, 0.549, 0.376], [0.362, 0.713, 0.750], [0.362, 0.787, 0.250], [0.362, 0.951, 0.624], [0.362, 0.951, 0.876], [0.638, 0.049, 0.124], [0.638, 0.049, 0.376], [0.638, 0.213, 0.750], [0.638, 0.287, 0.250], [0.638, 0.451, 0.624], [0.638, 0.451, 0.876], [0.978, 0.750, 0.000], [0.978, 0.750, 0.500]], "total_magnetization_mub_per_fu": 0.000}

It turns out (x) is the most stable, with the second structure 6.4 kJ/mol of atoms higher.

(w)
{"formula": "Mg2AgWO6", "functional": "GGA-PBEsol", "state": "optimized geometry", "cell": [[5.120, 0.000, 0.000], [0.000, 5.305, 0.000], [-4.998, 0.000, 8.299]], "species": ["Mg", "Mg", "Mg", "Mg", "Ag", "Ag", "W", "W", "O", "O", "O", "O", "O", "O", "O", "O", "O", "O", "O", "O"], "fractional_positions": [[0.212, 0.031, 0.215], [0.212, 0.469, 0.715], [0.788, 0.531, 0.285], [0.788, 0.969, 0.785], [0.000, 0.000, 0.500], [0.000, 0.500, 0.000], [0.500, 0.000, 0.000], [0.500, 0.500, 0.500], [0.151, 0.171, 0.971], [0.151, 0.329, 0.471], [0.214, 0.724, 0.877], [0.214, 0.776, 0.377], [0.449, 0.144, 0.806], [0.449, 0.356, 0.306], [0.551, 0.644, 0.694], [0.551, 0.856, 0.194], [0.786, 0.224, 0.623], [0.786, 0.276, 0.123], [0.849, 0.671, 0.529], [0.849, 0.829, 0.029]], "total_magnetization_mub_per_fu": 0.017}

(x)
{"formula": "Mg2AgWO6", "functional": "GGA-PBEsol", "state": "optimized geometry", "cell": [[5.141, 0.000, 0.000], [2.551, 4.643, 0.000], [0.039, 2.833, 4.752]], "species": ["Mg", "Mg", "Ag", "W", "O", "O", "O", "O", "O", "O"], "fractional_positions": [[0.000, 0.000, 0.000], [0.494, 0.002, 0.492], [0.215, 0.569, 0.631], [0.704, 0.592, 0.102], [0.073, 0.474, 0.305], [0.309, 0.800, 0.815], [0.432, 0.774, 0.295], [0.645, 0.019, 0.831], [0.747, 0.174, 0.262], [0.890, 0.476, 0.822]], "total_magnetization_mub_per_fu": 0.924}

It turns out (x) is the most stable, with the second structure 0.8 kJ/mol of atoms higher.

(w)
{"formula": "MgAg2P", "functional": "GGA-PBEsol", "state": "optimized geometry", "cell": [[0.000, 3.240, 3.240], [3.240, 0.000, 3.240], [3.240, 3.240, 0.000]], "species": ["Mg", "Ag", "Ag", "P"], "fractional_positions": [[0.000, 0.000, 0.000], [0.250, 0.250, 0.250], [0.500, 0.500, 0.500], [0.750, 0.750, 0.750]], "total_magnetization_mub_per_fu": 0.000}

(x)
{"formula": "MgAg2P", "functional": "GGA-PBEsol", "state": "optimized geometry", "cell": [[0.000, 3.235, 3.235], [3.235, 0.000, 3.235], [3.235, 3.235, 0.000]], "species": ["Mg", "Ag", "Ag", "P"], "fractional_positions": [[0.000, 0.000, 0.000], [0.250, 0.250, 0.250], [0.750, 0.750, 0.750], [0.500, 0.500, 0.500]], "total_magnetization_mub_per_fu": 0.000}

It turns out (w) is the most stable, with the second structure 6.2 kJ/mol of atoms higher.

(w)
{"formula": "Mg2AgPt", "functional": "GGA-PBEsol", "state": "optimized geometry", "cell": [[0.000, 3.200, 3.200], [3.200, 0.000, 3.200], [3.200, 3.200, 0.000]], "species": ["Mg", "Mg", "Ag", "Pt"], "fractional_positions": [[0.250, 0.250, 0.250], [0.750, 0.750, 0.750], [0.000, 0.000, 0.000], [0.500, 0.500, 0.500]], "total_magnetization_mub_per_fu": 0.000}

(x)
{"formula": "Mg2AgPt", "functional": "GGA-PBEsol", "state": "optimized geometry", "cell": [[3.435, 0.000, 0.000], [0.000, 3.435, 0.000], [0.000, 0.000, 5.834]], "species": ["Mg", "Mg", "Ag", "Pt"], "fractional_positions": [[0.000, 0.000, 0.000], [0.500, 0.500, 0.311], [0.500, 0.500, 0.777], [0.000, 0.000, 0.502]], "total_magnetization_mub_per_fu": 0.000}

It turns out (w) is the most stable, with the second structure 20.9 kJ/mol of atoms higher.

(w)
{"formula": "Mg2AgPt", "functional": "GGA-PBEsol", "state": "optimized geometry", "cell": [[0.000, 3.220, 3.220], [3.220, 0.000, 3.220], [3.220, 3.220, 0.000]], "species": ["Mg", "Mg", "Ag", "Pt"], "fractional_positions": [[0.000, 0.000, 0.000], [0.250, 0.250, 0.250], [0.750, 0.750, 0.750], [0.500, 0.500, 0.500]], "total_magnetization_mub_per_fu": 0.000}

(x)
{"formula": "Mg2AgPt", "functional": "GGA-PBEsol", "state": "optimized geometry", "cell": [[4.904, -1.475, 0.000], [4.904, 1.475, 0.000], [-1.102, 0.000, 4.620]], "species": ["Mg", "Mg", "Ag", "Pt"], "fractional_positions": [[0.000, 0.000, 0.000], [0.223, 0.223, 0.644], [0.750, 0.750, 0.167], [0.486, 0.486, 0.499]], "total_magnetization_mub_per_fu": 0.000}

(y)
{"formula": "Mg2AgPt", "functional": "GGA-PBEsol", "state": "optimized geometry", "cell": [[-1.965, 1.965, 4.267], [1.965, -1.965, 4.267], [1.965, 1.965, -4.267]], "species": ["Mg", "Mg", "Ag", "Pt"], "fractional_positions": [[0.000, 0.000, 0.000], [0.750, 0.250, 0.500], [0.250, 0.750, 0.500], [0.500, 0.500, 0.000]], "total_magnetization_mub_per_fu": 0.000}

It turns out (y) is the most stable, with the second structure 1.8 kJ/mol of atoms higher.

(w)
{"formula": "Mg2AgPt", "functional": "GGA-PBEsol", "state": "optimized geometry", "cell": [[3.001, 0.000, 0.000], [0.000, 3.001, 0.000], [0.000, 0.000, 7.347]], "species": ["Mg", "Mg", "Ag", "Pt"], "fractional_positions": [[0.000, 0.000, 0.232], [0.000, 0.000, 0.768], [0.500, 0.500, 0.500], [0.500, 0.500, 0.000]], "total_magnetization_mub_per_fu": 0.000}

(x)
{"formula": "Mg2AgPt", "functional": "GGA-PBEsol", "state": "optimized geometry", "cell": [[4.540, 0.000, 0.000], [0.000, 4.540, 0.000], [0.000, 0.000, 3.176]], "species": ["Mg", "Mg", "Ag", "Pt"], "fractional_positions": [[0.000, 0.500, 0.000], [0.500, 0.000, 0.000], [0.000, 0.000, 0.500], [0.500, 0.500, 0.500]], "total_magnetization_mub_per_fu": 0.000}

It turns out (w) is the most stable, with the second structure 0.9 kJ/mol of atoms higher.